First-principles (PBE with a Hubbard U) data for crystalline ReMoO2F at its relaxed geometry, as listed in Alexandria.

Unit cell a=4.1690 b=4.1690 c=4.1673 alpha=90.00 beta=90.00 gamma=90.00
Closest atoms and distances in Å follow each position.
Fractional positions:
Re (0.0000, 0.0000, 0.0000)  8 O 2.95, 4 F 2.95
Mo (0.5000, 0.5000, 0.5000)  2 F 2.08, 4 O 2.08
O (0.0000, 0.5000, 0.5000)  2 Mo 2.08
O (0.5000, 0.0000, 0.5000)  2 Mo 2.08
F (0.5000, 0.5000, 0.0000)  2 Mo 2.08

E_tot, eV/atom: -6.420
Total moment, μB per cell: 7.95